Below is Er2TlHg2 after structural relaxation, with properties calculated at the PBE level.

Cell: 8.188 8.188 3.856 Å, 90.00 90.00 90.00°
Positions (direct):
Er 0.170 0.330 0.000
Er 0.330 0.830 0.000
Er 0.670 0.170 0.000
Er 0.830 0.670 0.000
Tl 0.000 0.000 0.500
Tl 0.500 0.500 0.500
Hg 0.129 0.629 0.500
Hg 0.371 0.129 0.500
Hg 0.629 0.871 0.500
Hg 0.871 0.371 0.500

Properties
* magnetization: 0.00 μB per formula unit
* mass density: 12.1 Mg/m³
* energy of formation: -34.49 kJ per mole of atoms
* symmetry: No. 127
* crystal system: tetragonal